Below is a geometry-optimized Nd2NiSn2 structure, with properties calculated at the PBE level.

V   254.1 Å³ per cell
Space-group type   C2/m, No. 12
Fermi-level density of states   8.33 states/eV/cell
Formation energy   -64.88 kJ/mol of atoms

The structure in POSCAR format:
```
Nd2NiSn2
1.0
5.6343 -2.2735 0.0000
5.6343 2.2735 0.0000
-5.2261 0.0000 9.9171
Nd Ni Sn
4 2 4
Cartesian
10.3941 0.0000 1.6543 Nd
-4.3516 0.0000 8.2628 Nd
-1.1139 0.0000 6.1120 Nd
7.1564 0.0000 3.8051 Nd
2.3456 0.0000 1.5859 Ni
3.6969 0.0000 8.3312 Ni
-1.1293 0.0000 9.3351 Sn
2.1478 0.0000 6.1853 Sn
3.8947 0.0000 3.7318 Sn
7.1718 0.0000 0.5820 Sn
```